Entry 1:
SrLaMo4: optimized geometry, PBEsol.

a b c (Å): 7.850 7.850 7.850
angles (deg): 90.00 90.00 90.00
Space group F-43m (No. 216)
Symmetry-distinct sites (fractional):
Sr  0.000  0.000  0.000
La  0.250  0.250  0.250
Mo  0.125  0.125  0.625

Entry 2:
SrLaMo2: optimized geometry, PBEsol.

Calculated values
For the energy relative to the lowest polymorph listed for this composition, the calculation gives 186 meV per atom.

a b c (Å): 3.2953 3.2953 28.3597
angles (deg): 90.00 90.00 120.00
Space group R-3m (No. 166, hexagonal axes)
Symmetry-distinct sites (fractional):
Sr  0.0000  0.0000  0.0000
La  0.0000  0.0000  0.5000
Mo  0.0000  0.0000  0.2398

Entry 3:
SrLaMo2: optimized geometry, PBEsol.

Calculated values
For the energy relative to the lowest polymorph listed for this composition, the calculation gives 283 meV per atom.

a b c (Å): 7.178 7.178 7.178
angles (deg): 90.00 90.00 90.00
Space group Fm-3m (No. 225)
Symmetry-distinct sites (fractional):
Sr  0.000  0.000  0.000
La  0.000  0.000  0.500
Mo  0.250  0.250  0.250

In order of appearance, ΔH_f (0 K) = 596, 1188, 1285 meV per atom.
In order of appearance, magnetization = 0.00, 0.00, 3.51 μB per formula unit.